Record 1
Material: LiAu2
Method: DFT, PBE
State: optimized geometry

Lattice parameters (Å, degrees): 4.5426 4.5426 5.5263 90.00 90.00 120.00
Space group P6_3/mmc (No. 194)
Asymmetric unit:
Li 0.3333 0.6667 0.2500 (multiplicity 2)
Au 0.0000 0.0000 0.0000 (multiplicity 2)
Au 0.3333 0.6667 0.7500 (multiplicity 2)

Output
ΔE_f: -39.30 kJ per mole of atoms

***

Record 2
Material: TlHg2Mo
Method: DFT, PBE
State: optimized geometry

Lattice parameters (Å, degrees): 3.0051 5.2852 5.4694 90.00 90.00 90.00
Space group Pmmm (No. 47)
Asymmetric unit:
Tl 0.0000 0.0000 0.0000 (multiplicity 1)
Hg 0.0000 0.5000 0.5000 (multiplicity 1)
Hg 0.5000 0.0000 0.5000 (multiplicity 1)
Mo 0.5000 0.5000 0.0000 (multiplicity 1)

Output
ΔE_f: 62.06 kJ per mole of atoms
Excess energy over the best structure of this formula in the dataset: 131 meV/atom

***

Record 3
Material: LuSnC
Method: DFT, PBE
State: optimized geometry

Lattice parameters (Å, degrees): 3.5872 3.5872 5.0880 90.00 90.00 120.00
Space group P3m1 (No. 156)
Asymmetric unit:
Lu 0.0000 0.0000 0.0000 (multiplicity 1)
Sn 0.6667 0.3333 0.4805 (multiplicity 1)
C 0.3333 0.6667 0.1960 (multiplicity 1)

Output
ΔE_f: 7.22 kJ per mole of atoms

***

Record 4
Material: CsHoCuI5
Method: DFT, PBE
State: optimized geometry

Lattice parameters (Å, degrees): 10.2817 13.4076 11.3823 90.00 113.46 90.00
Space group C2/c (No. 15)
Asymmetric unit:
Cs 0.0000 0.1459 0.2500 (multiplicity 4)
Ho 0.0000 0.5000 0.0000 (multiplicity 4)
Cu 0.0000 0.1905 0.7500 (multiplicity 4)
I 0.0000 0.4263 0.2500 (multiplicity 4)
I 0.1043 0.2946 0.6107 (multiplicity 8)
I 0.2001 0.0797 0.9277 (multiplicity 8)

Output
Formation energy from raw total energies: -8.73 eV/f.u.

***

Record 5
Material: Gd2ReBr
Method: DFT, PBE
State: optimized geometry

Lattice parameters (Å, degrees): 3.4666 3.4666 8.0656 90.00 90.00 90.00
Space group P4/mmm (No. 123)
Asymmetric unit:
Gd 0.0000 0.0000 0.2075 (multiplicity 2)
Re 0.5000 0.5000 0.0000 (multiplicity 1)
Br 0.5000 0.5000 0.5000 (multiplicity 1)

Output
Formation energy from raw total energies: -2.04 eV/f.u.

***

Record 6
Material: Nd2MnC2
Method: DFT, PBE
State: optimized geometry

Lattice parameters (Å, degrees): 11.2928 5.3120 6.8152 90.00 122.12 90.00
Space group C2/m (No. 12)
Asymmetric unit:
Nd 0.0428 0.0000 0.2926 (multiplicity 4)
Nd 0.1840 0.5000 0.1237 (multiplicity 4)
Mn 0.1289 0.5000 0.6320 (multiplicity 4)
C 0.0108 0.5000 0.3001 (multiplicity 4)
C 0.1918 0.0000 0.1230 (multiplicity 4)

Output
ΔE_f: -15.18 kJ per mole of atoms

***

Record 7
Material: NpGaBi
Method: DFT, PBE
State: optimized geometry

Lattice parameters (Å, degrees): 5.2470 5.2470 3.2168 90.00 90.00 120.00
Space group P-6m2 (No. 187)
Asymmetric unit:
Np 0.0000 0.0000 0.0000 (multiplicity 1)
Ga 0.3333 0.6667 0.5000 (multiplicity 1)
Bi 0.6667 0.3333 0.5000 (multiplicity 1)

Output
ΔE_f: 14.56 kJ per mole of atoms
Excess energy over the best structure of this formula in the dataset: 153 meV/atom

***

Record 8
Material: Pm2HoPd2
Method: DFT, PBE
State: optimized geometry

Lattice parameters (Å, degrees): 13.0383 3.9656 11.4058 90.00 119.03 90.00
Space group C2/m (No. 12)
Asymmetric unit:
Pm 0.0471 0.0000 0.1974 (multiplicity 4)
Pm 0.1713 0.0000 0.5771 (multiplicity 4)
Ho 0.2029 0.5000 0.8567 (multiplicity 4)
Pd 0.0165 0.5000 0.3822 (multiplicity 4)
Pd 0.1230 0.5000 0.0536 (multiplicity 4)

Output
ΔE_f: -65.87 kJ per mole of atoms
Excess energy over the best structure of this formula in the dataset: 0 meV/atom